NiPt2O2 after structural relaxation, computed with PBE with a Hubbard U.

Properties
* total moment: 2.3 Bohr magnetons per cell
* electronic total energy: -4.3805 eV/atom
* Fermi-level density of states: 6.30 states/eV per cell
* space group: No. 127
* V: 128.9 Å³ per cell

abc: 6.6942 6.6942 2.8765
angles: 90.00 90.00 90.00
Closest atoms and distances in Å follow each position.
Sites, in units of the cell vectors:
Ni1 0.0000 0.0000 0.0000  4 O 2.57, 8 Pt 2.81, 2 Ni 2.88
Ni2 0.5000 0.5000 0.0000  4 O 2.57, 8 Pt 2.81, 2 Ni 2.88
O1 0.3566 0.8566 0.0000  2 Pt 2.05
O2 0.8566 0.6434 0.0000  2 Pt 2.05
O3 0.6434 0.1434 0.0000  2 Pt 2.05
O4 0.1434 0.3566 0.0000  2 Pt 2.05
Pt1 0.2024 0.7024 0.5000  2 O 2.05
Pt2 0.7024 0.7976 0.5000  2 O 2.05
Pt3 0.7976 0.2976 0.5000  2 O 2.05
Pt4 0.2976 0.2024 0.5000  2 O 2.05